Entry 1:
Here is crystalline Ag2SbIrC at its relaxed geometry from Alexandria. Energies are from PBE-GGA.

a = 5.1851 Å, b = 4.0681 Å, c = 5.1851 Å
α = 90.00°, β = 90.00°, γ = 90.00°
With the nearest neighbours (Å) after each atom.
Element x y z (fractional)
Ir  0.5000  0.5000  0.5000  8 Ag 3.30, 4 C 3.67
Ag  0.5000  0.0000  0.0000  2 Sb 2.59
Ag  0.0000  0.0000  0.5000  2 Sb 2.59
C  0.0000  0.5000  0.0000  2 Sb 2.03
Sb  0.0000  0.0000  0.0000  2 C 2.03

energy: -3.51 eV/atom
crystal system: tetragonal
space-group type: P4/mmm (123)
energy relative to the elements, uncorrected: 2.0744 eV per atom
M_tot: 1.49 μB per formula unit

=====

Entry 2:
Here is crystalline YScTc2 at its relaxed geometry from Alexandria. Energies are from PBE-GGA.

a = 5.7132 Å, b = 5.7132 Å, c = 4.7291 Å
α = 65.56°, β = 65.56°, γ = 33.62°
With the nearest neighbours (Å) after each atom.
Element x y z (fractional)
Tc  0.7242  0.7242  0.7758  2 Tc 2.57
Tc  0.0243  0.0243  0.9758  2 Tc 2.57
Y  0.4868  0.4868  0.5132  6 Tc 2.91-3.07, 4 Sc 3.20-3.22
Sc  0.2647  0.2647  0.2352  6 Tc 2.91-3.05, 4 Y 3.20-3.22

energy: -8.43 eV/atom
crystal system: orthorhombic
space-group type: Imm2 (44)
energy above the most stable polymorph in this dataset: 7.4 meV/atom
energy of formation: -0.04 eV/atom
M_tot: 0.00 μB per formula unit

=====

Entry 3:
Here is crystalline AlVAs2Br at its relaxed geometry from Alexandria. Energies are from PBE-GGA.

a = 4.7946 Å, b = 4.7946 Å, c = 5.1512 Å
α = 90.00°, β = 90.00°, γ = 90.00°
With the nearest neighbours (Å) after each atom.
Element x y z (fractional)
As  0.5000  0.0000  0.0000  2 Al 2.40
As  0.0000  0.5000  0.0000  2 Al 2.40
Al  0.0000  0.0000  0.0000  4 As 2.40, 2 Br 2.58
V  0.5000  0.5000  0.5000  4 Br 3.39, 8 As 3.52
Br  0.0000  0.0000  0.5000  2 Al 2.58

energy: -4.17 eV/atom
crystal system: tetragonal
space-group type: P4/mmm (123)
energy relative to the elements, uncorrected: 0.5963 eV per atom
energy above the most stable polymorph in this dataset: 401.3 meV/atom
M_tot: 2.84 μB per formula unit

=====

Entry 4:
Here is crystalline BeTlFe4 at its relaxed geometry from Alexandria. Energies are from PBE-GGA.

a = 4.8615 Å, b = 4.8615 Å, c = 4.8615 Å
α = 60.00°, β = 60.00°, γ = 60.00°
With the nearest neighbours (Å) after each atom.
Element x y z (fractional)
Be  0.0000  0.0000  0.0000  12 Fe 2.85, 4 Tl 2.98
Fe  0.1210  0.6263  0.6263  6 Fe 2.41-2.46
Fe  0.6263  0.1210  0.6263  6 Fe 2.41-2.46
Fe  0.6263  0.6263  0.6263  6 Fe 2.41-2.46
Fe  0.6263  0.6263  0.1210  6 Fe 2.41-2.46
Tl  0.2500  0.2500  0.2500  12 Fe 2.85, 4 Be 2.98

energy: -6.21 eV/atom
crystal system: cubic
space-group type: F-43m (216)
energy of formation: 0.44 eV/atom
M_tot: 8.83 μB per formula unit

=====

Entry 5:
Here is crystalline MnTl2Ga at its relaxed geometry from Alexandria. Energies are from PBE-GGA.

a = 9.9400 Å, b = 9.9400 Å, c = 7.4027 Å
α = 47.83°, β = 47.83°, γ = 90.00°
With the nearest neighbours (Å) after each atom.
Element x y z (fractional)
Mn  0.2500  0.7500  0.5000  2 Ga 2.32, 4 Tl 2.55
Mn  0.5000  0.5000  0.0000  2 Ga 2.32, 4 Tl 2.55
Tl  0.3749  0.6250  0.2500  2 Mn 2.55
Tl  0.8750  0.6251  0.7500  2 Mn 2.55
Tl  0.3750  0.6249  0.7500  2 Mn 2.55
Tl  0.3751  0.1250  0.2500  2 Mn 2.55
Ga  0.0000  0.0000  0.0000  2 Mn 2.32
Ga  0.7500  0.2500  0.5000  2 Mn 2.32

energy: -3.80 eV/atom
crystal system: tetragonal
space-group type: I4_1/amd (141)
energy above the most stable polymorph in this dataset: 0.0 meV/atom
energy of formation: 0.44 eV/atom
M_tot: 1.98 μB per formula unit

=====

Entry 6:
Here is crystalline Sr2ScCu at its relaxed geometry from Alexandria. Energies are from PBE-GGA.

a = 3.7269 Å, b = 3.7197 Å, c = 9.9394 Å
α = 68.01°, β = 90.00°, γ = 90.00°
With the nearest neighbours (Å) after each atom.
Element x y z (fractional)
Sr  0.0000  0.5452  0.4552  4 Cu 3.24
Sr  0.0000  0.9548  0.0448  4 Cu 3.24
Cu  0.5000  0.2500  0.2500  8 Sr 3.24
Sc  0.5000  0.7500  0.7500  4 Sc 3.72-3.73, 8 Sr 3.78

energy: -3.23 eV/atom
crystal system: tetragonal
space-group type: P4/mmm (123)
energy above the most stable polymorph in this dataset: 147.4 meV/atom
energy of formation: 0.22 eV/atom
M_tot: 0.87 μB per formula unit

=====

Entry 7:
Here is crystalline La2TbInC at its relaxed geometry from Alexandria. Energies are from PBE-GGA.

a = 5.0092 Å, b = 5.2257 Å, c = 5.2257 Å
α = 90.00°, β = 90.00°, γ = 90.00°
With the nearest neighbours (Å) after each atom.
Element x y z (fractional)
La  0.0000  0.0000  0.5000  2 C 2.61
La  0.0000  0.5000  0.0000  2 C 2.61
In  0.5000  0.5000  0.5000  8 La 3.62, 4 Tb 3.70
Tb  0.5000  0.0000  0.0000  2 C 2.50
C  0.0000  0.0000  0.0000  2 Tb 2.50, 4 La 2.61

energy: -5.64 eV/atom
crystal system: tetragonal
space-group type: P4/mmm (123)
energy of formation: -0.35 eV/atom
M_tot: 0.00 μB per formula unit

=====

Entry 8:
Here is crystalline ScRhAu2 at its relaxed geometry from Alexandria. Energies are from PBE-GGA.

a = 8.9568 Å, b = 8.9568 Å, c = 8.9568 Å
α = 19.86°, β = 19.86°, γ = 19.86°
With the nearest neighbours (Å) after each atom.
Element x y z (fractional)
Au  0.2474  0.2474  0.2474  3 Rh 2.90, 9 Au 2.95-3.09
Au  0.0034  0.0034  0.0034  3 Sc 2.87, 9 Au 2.95-3.09
Rh  0.4938  0.4938  0.4938  3 Sc 2.60, 3 Au 2.90
Sc  0.7555  0.7555  0.7555  3 Rh 2.60, 3 Au 2.87

energy: -5.33 eV/atom
crystal system: trigonal
space-group type: R3m (160)
energy of formation: -0.27 eV/atom
M_tot: 0.00 μB per formula unit

=====

Entry 9:
Here is crystalline TbNd2DyBi5 at its relaxed geometry from Alexandria. Energies are from PBE-GGA.

a = 5.4513 Å, b = 5.4513 Å, c = 11.9306 Å
α = 90.00°, β = 90.00°, γ = 90.00°
With the nearest neighbours (Å) after each atom.
Element x y z (fractional)
Nd  0.5000  0.5000  0.7249  1 Bi 3.28
Nd  0.5000  0.5000  0.2751  1 Bi 3.28
Bi  0.0000  0.0000  0.2455  1 Dy 2.93, 1 Tb 3.04
Bi  0.5000  0.0000  0.5000  2 Tb 2.73
Bi  0.0000  0.5000  0.5000  2 Tb 2.73
Bi  0.0000  0.0000  0.7545  1 Dy 2.93, 1 Tb 3.04
Bi  0.5000  0.5000  0.0000  2 Nd 3.28
Tb  0.0000  0.0000  0.5000  6 Bi 2.73-3.04
Dy  0.0000  0.0000  0.0000  2 Bi 2.93

energy: -4.35 eV/atom
crystal system: tetragonal
space-group type: P4/mmm (123)
energy of formation: -0.11 eV/atom
M_tot: 0.00 μB per formula unit

=====

Entry 10:
Here is crystalline LiCrAg at its relaxed geometry from Alexandria. Energies are from PBE-GGA.

a = 7.7952 Å, b = 5.6211 Å, c = 4.5319 Å
α = 90.00°, β = 90.00°, γ = 90.00°
With the nearest neighbours (Å) after each atom.
Element x y z (fractional)
Li  0.1676  0.2500  0.5000  5 Cr 2.60-2.81
Li  0.8324  0.7500  0.5000  5 Cr 2.60-2.81
Li  0.3324  0.7500  0.0000  5 Cr 2.60-2.81
Li  0.6676  0.2500  0.0000  5 Cr 2.60-2.81
Ag  0.0000  0.0000  0.0000  2 Ag 2.81, 6 Li 2.95-2.97, 6 Cr 2.96-2.97
Ag  0.0000  0.5000  0.0000  2 Ag 2.81, 6 Li 2.95-2.97, 6 Cr 2.96-2.97
Ag  0.5000  0.0000  0.5000  2 Ag 2.81, 6 Li 2.95-2.97, 6 Cr 2.96-2.97
Ag  0.5000  0.5000  0.5000  2 Ag 2.81, 6 Li 2.95-2.97, 6 Cr 2.96-2.97
Cr  0.3335  0.2500  0.0000  5 Li 2.60-2.81
Cr  0.6665  0.7500  0.0000  5 Li 2.60-2.81
Cr  0.1665  0.7500  0.5000  5 Li 2.60-2.81
Cr  0.8335  0.2500  0.5000  5 Li 2.60-2.81

energy: -4.39 eV/atom
crystal system: orthorhombic
space-group type: Cmcm (63)
energy above the most stable polymorph in this dataset: 163.0 meV/atom
energy of formation: 0.40 eV/atom
M_tot: 4.43 μB per formula unit

=====

Entry 11:
Here is crystalline Pm2NiP4Ru3 at its relaxed geometry from Alexandria. Energies are from PBE-GGA.

a = 4.1260 Å, b = 4.1260 Å, c = 9.5490 Å
α = 90.00°, β = 90.00°, γ = 90.00°
With the nearest neighbours (Å) after each atom.
Element x y z (fractional)
Pm  0.5000  0.0000  0.2414  8 P 3.09-3.15, 7 Ru 3.15-3.43, 2 Ni 3.22
Pm  0.0000  0.5000  0.7586  8 P 3.09-3.15, 7 Ru 3.15-3.43, 2 Ni 3.22
Ru  0.0000  0.0000  0.5000  4 P 2.42
Ru  0.0000  0.5000  0.1181  5 P 2.35-2.38
Ru  0.5000  0.0000  0.8819  5 P 2.35-2.38
P  0.0000  0.5000  0.3671  3 Ru 2.38-2.42, 2 Ni 2.42
P  0.5000  0.5000  0.0000  4 Ru 2.35
P  0.5000  0.0000  0.6329  3 Ru 2.38-2.42, 2 Ni 2.42
P  0.0000  0.0000  0.0000  4 Ru 2.35
Ni  0.5000  0.5000  0.5000  4 P 2.42

energy: -7.37 eV/atom
crystal system: tetragonal
space-group type: P-4m2 (115)
energy of formation: -0.90 eV/atom
M_tot: 0.00 μB per formula unit

=====

Entry 12:
Here is crystalline ErNi10P3 at its relaxed geometry from Alexandria. Energies are from PBE-GGA.

a = 7.9083 Å, b = 7.9083 Å, c = 7.9083 Å
α = 60.00°, β = 60.00°, γ = 60.00°
With the nearest neighbours (Å) after each atom.
Element x y z (fractional)
Ni  0.0000  0.0000  0.6497  2 P 2.18, 1 Ni 2.37
Ni  0.6497  0.0000  0.3503  2 P 2.18, 1 Ni 2.37
Ni  0.3503  0.6497  0.0000  2 P 2.18, 1 Ni 2.37
Ni  0.6130  0.6130  0.1609  3 P 2.29, 3 Ni 2.53
Ni  0.3503  0.0000  0.6497  2 P 2.18, 1 Ni 2.37
Ni  0.3503  0.0000  0.0000  2 P 2.18, 1 Ni 2.37
Ni  0.1609  0.6130  0.6130  3 P 2.29, 3 Ni 2.53
Ni  0.3870  0.8391  0.3870  3 P 2.29, 3 Ni 2.53
Ni  0.6497  0.0000  0.0000  2 P 2.18, 1 Ni 2.37
Ni  0.3870  0.3870  0.3870  3 P 2.29, 3 Ni 2.53
Ni  0.0000  0.0000  0.3503  2 P 2.18, 1 Ni 2.37
Ni  0.0000  0.6497  0.0000  2 P 2.18, 1 Ni 2.37
Ni  0.8391  0.3870  0.3870  3 P 2.29, 3 Ni 2.53
Ni  0.0000  0.6497  0.3503  2 P 2.18, 1 Ni 2.37
Ni  0.0000  0.3503  0.0000  2 P 2.18, 1 Ni 2.37
Ni  0.3870  0.3870  0.8391  3 P 2.29, 3 Ni 2.53
Ni  0.6497  0.3503  0.0000  2 P 2.18, 1 Ni 2.37
Ni  0.0000  0.3503  0.6497  2 P 2.18, 1 Ni 2.37
Ni  0.6130  0.6130  0.6130  3 P 2.29, 3 Ni 2.53
Ni  0.6130  0.1609  0.6130  3 P 2.29, 3 Ni 2.53
P  0.7403  0.7403  0.2597  8 Ni 2.18-2.29
P  0.7403  0.2597  0.2597  8 Ni 2.18-2.29
P  0.2597  0.2597  0.7403  8 Ni 2.18-2.29
P  0.2597  0.7403  0.7403  8 Ni 2.18-2.29
P  0.2597  0.7403  0.2597  8 Ni 2.18-2.29
P  0.7403  0.2597  0.7403  8 Ni 2.18-2.29
Er  0.7500  0.7500  0.7500  4 Ni 2.65
Er  0.2500  0.2500  0.2500  4 Ni 2.65

energy: -6.12 eV/atom
crystal system: cubic
space-group type: Fm-3m (225)
energy of formation: -0.51 eV/atom
M_tot: 0.00 μB per formula unit